No. 1
The following is a PBE calculation of crystalline TlCdFeHg at its relaxed geometry, from the Open Quantum Materials Database.

a b c (Å): 6.9905 6.9905 6.9905
angles (deg): 90.00 90.00 90.00
Last column: nearest neighbours and their distance in Å.
Space group F-43m (No. 216)
Inequivalent atoms, fractional coordinates:
Tl  0.0000  0.0000  0.0000 x4  4 Cd 3.03, 4 Fe 3.03
Cd  0.2500  0.2500  0.7500 x4  4 Hg 3.03, 4 Tl 3.03
Fe  0.2500  0.2500  0.2500 x4  4 Hg 3.03, 4 Tl 3.03
Hg  0.0000  0.0000  0.5000 x4  4 Cd 3.03, 4 Fe 3.03

Mass density in g/cm3: 11.15
Energy above the lowest structure with this stoichiometry in meV/atom: 0.0
Total magnetic moment in μB/cell: 11.62
E in eV per cell: -39.703



No. 2
The following is a PBE calculation of crystalline Pd16S7 at its relaxed geometry, from the Open Quantum Materials Database.

a b c (Å): 9.0489 9.0489 9.0489
angles (deg): 90.00 90.00 90.00
Last column: nearest neighbours and their distance in Å.
Space group I-43m (No. 217)
Inequivalent atoms, fractional coordinates:
Pd  0.0833  0.3309  0.6691 x24  2 S 2.29-2.34
Pd  0.1152  0.1152  0.1152 x8  3 S 2.51
S  0.0000  0.0000  0.5000 x6  4 Pd 2.29
S  0.1557  0.1557  0.8443 x8  6 Pd 2.34-2.51

Mass density in g/cm3: 8.64
E in eV per cell: -234.886



No. 3
The following is a PBE calculation of crystalline AlFeTe2 at its relaxed geometry, from the Open Quantum Materials Database.

a b c (Å): 6.8721 6.8721 6.8721
angles (deg): 90.00 90.00 90.00
Last column: nearest neighbours and their distance in Å.
Space group F-43m (No. 216)
Inequivalent atoms, fractional coordinates:
Al  0.0000  0.0000  0.0000 x4  4 Fe 2.98, 4 Te 2.98
Fe  0.2500  0.2500  0.2500 x4  4 Te 2.98, 4 Al 2.98
Te  0.0000  0.0000  0.5000 x4  4 Fe 2.98, 4 Te 2.98
Te  0.2500  0.2500  0.7500 x4  4 Te 2.98, 4 Al 2.98

Mass density in g/cm3: 6.92
Total magnetic moment in μB/cell: 10.43
E in eV per cell: -62.584



No. 4
The following is a PBE calculation of crystalline LuScBe at its relaxed geometry, from the Open Quantum Materials Database.

a b c (Å): 6.4817 6.4817 6.4817
angles (deg): 90.00 90.00 90.00
Last column: nearest neighbours and their distance in Å.
Space group F-43m (No. 216)
Inequivalent atoms, fractional coordinates:
Lu  0.0000  0.0000  0.0000 x4  4 Be 2.81, 4 Sc 2.81
Sc  0.2500  0.2500  0.2500 x4  4 Lu 2.81
Be  0.2500  0.2500  0.7500 x4  4 Lu 2.81

Mass density in g/cm3: 5.58
Energy above the lowest structure with this stoichiometry in meV/atom: 738.8
Total magnetic moment in μB/cell: 0.01
E in eV per cell: -46.442



No. 5
The following is a PBE calculation of crystalline Gd2CoSi4Ir at its relaxed geometry, from the Open Quantum Materials Database.

a b c (Å): 4.0779 4.1076 16.5429
angles (deg): 90.00 90.00 90.00
Last column: nearest neighbours and their distance in Å.
Space group Amm2 (No. 38)
Inequivalent atoms, fractional coordinates:
Gd  0.0000  0.0000  0.0000 x2  10 Si 3.11-3.26, 4 Ir 3.14
Gd  0.5000  0.0000  0.2106 x2  10 Si 3.04-3.12, 4 Co 3.13
Co  0.0000  0.0000  0.7824 x2  5 Si 2.22-2.31
Si  0.0000  0.0000  0.3469 x2  2 Co 2.31, 2 Ir 2.42
Si  0.0000  0.0000  0.6484 x2  1 Co 2.22, 2 Si 2.43
Si  0.5000  0.0000  0.5683 x2  1 Ir 2.35, 2 Si 2.43
Si  0.5000  0.0000  0.8468 x2  2 Co 2.30, 2 Ir 2.44
Ir  0.5000  0.0000  0.4260 x2  5 Si 2.35-2.44

Mass density in g/cm3: 8.13
Total magnetic moment in μB/cell: 0.01
E in eV per cell: -107.646



No. 6
The following is a PBE calculation of crystalline NaZrAgS3 at its relaxed geometry, from the Open Quantum Materials Database.

a b c (Å): 10.9554 3.7076 13.0781
angles (deg): 90.00 90.00 90.00
Last column: nearest neighbours and their distance in Å.
Space group Pnma (No. 62)
Inequivalent atoms, fractional coordinates:
Na  0.1896  0.2500  0.0042 x4  5 S 2.87-3.06
Zr  0.0142  0.2500  0.2780 x4  5 S 2.42-2.64
Ag  0.2402  0.7500  0.2217 x4  4 S 2.45-2.58
S  0.0313  0.7500  0.1353 x4  1 Ag 2.55, 2 Zr 2.64
S  0.0785  0.2500  0.6122 x4  1 Ag 2.45, 2 Zr 2.56
S  0.2135  0.2500  0.3571 x4  1 Zr 2.42, 2 Ag 2.58

Mass density in g/cm3: 3.98
Energy above the lowest structure with this stoichiometry in meV/atom: 17.8
Total magnetic moment in μB/cell: 0.05
E in eV per cell: -125.994



No. 7
The following is a PBE calculation of crystalline MgCdP4Os2 at its relaxed geometry, from the Open Quantum Materials Database.

a b c (Å): 5.5848 5.5848 11.0646
angles (deg): 90.00 90.00 90.00
Last column: nearest neighbours and their distance in Å.
Space group I-4 (No. 82)
Inequivalent atoms, fractional coordinates:
Mg  0.0000  0.0000  0.0000 x2  4 P 2.58
Cd  0.0000  0.5000  0.7500 x2  4 P 2.62
P  0.1963  0.7467  0.3768 x8  2 Os 2.25
Os  0.0000  0.0000  0.5000 x2  4 P 2.25
Os  0.0000  0.5000  0.2500 x2  4 P 2.25

Mass density in g/cm3: 6.17
Total magnetic moment in μB/cell: 0.00
E in eV per cell: -93.549



No. 8
The following is a PBE calculation of crystalline Y2ReWN6 at its relaxed geometry, from the Open Quantum Materials Database.

a b c (Å): 5.5801 5.5801 28.4528
angles (deg): 90.00 90.00 120.00
Last column: nearest neighbours and their distance in Å.
Space group R-3m (No. 166, hexagonal axes)
Inequivalent atoms, fractional coordinates:
Y  0.0000  0.0000  0.1429 x6  3 N 2.44
Y  0.0000  0.0000  0.2675 x6  3 N 2.33
Re  0.0000  0.0000  0.0000 x3  6 N 1.96
Re  0.0000  0.0000  0.5000 x3  6 N 2.01
W  0.0000  0.0000  0.4044 x6  3 N 1.86
N  0.0034  0.5017  0.8746 x18  1 Re 2.01, 1 W 2.25
N  0.0076  0.5038  0.7074 x18  1 W 1.86, 1 Re 1.96

Mass density in g/cm3: 8.21
Total magnetic moment in μB/cell: 0.00
E in eV per cell: -564.441



No. 9
The following is a PBE calculation of crystalline LiZrBPd at its relaxed geometry, from the Open Quantum Materials Database.

a b c (Å): 6.0093 6.0093 6.0093
angles (deg): 90.00 90.00 90.00
Last column: nearest neighbours and their distance in Å.
Space group F-43m (No. 216)
Inequivalent atoms, fractional coordinates:
Li  0.0000  0.0000  0.0000 x4  4 Zr 2.60, 4 B 2.60
Zr  0.2500  0.2500  0.7500 x4  4 Pd 2.60, 4 Li 2.60
B  0.2500  0.2500  0.2500 x4  4 Li 2.60, 4 Pd 2.60
Pd  0.0000  0.0000  0.5000 x4  4 B 2.60, 4 Zr 2.60

Mass density in g/cm3: 6.59
Energy above the lowest structure with this stoichiometry in meV/atom: 165.2
Total magnetic moment in μB/cell: 0.00
E in eV per cell: -89.869



No. 10
The following is a PBE calculation of crystalline LiTbCdO3 at its relaxed geometry, from the Open Quantum Materials Database.

a b c (Å): 14.5982 3.2171 6.8888
angles (deg): 90.00 90.10 90.00
Last column: nearest neighbours and their distance in Å.
Space group C2/m (No. 12)
Inequivalent atoms, fractional coordinates:
Li  0.1292  0.0000  0.2503 x4  2 O 1.70
Tb  0.0000  0.0000  0.0000 x2  6 O 2.25-2.36
Tb  0.0000  0.0000  0.5000 x2  6 O 2.25-2.36
Cd  0.2325  0.0000  0.7505 x4  2 O 2.12
O  0.0112  0.5000  0.2499 x4  2 Li 2.36, 4 Tb 2.36
O  0.1543  0.0000  0.0094 x4  1 Li 1.70
O  0.1541  0.0000  0.4915 x4  1 Li 1.70

Mass density in g/cm3: 6.70
Total magnetic moment in μB/cell: 0.00
E in eV per cell: -132.501



No. 11
The following is a PBE calculation of crystalline Hf4As3W2N3 at its relaxed geometry, from the Open Quantum Materials Database.

a b c (Å): 10.0700 5.8259 12.3821
angles (deg): 90.00 105.28 90.00
Last column: nearest neighbours and their distance in Å.
Space group C2/c (No. 15)
Inequivalent atoms, fractional coordinates:
Hf  0.1153  0.0970  0.0975 x8  3 N 2.23-2.25
Hf  0.2242  0.0745  0.4026 x8  3 N 2.22-2.24
As  0.0000  0.1084  0.7500 x4  2 W 2.68, 4 Hf 2.74-2.75
As  0.1566  0.4259  0.2535 x8  2 W 2.63-2.65, 4 Hf 2.67-2.73
W  0.0456  0.4260  0.9125 x8  3 N 2.26-2.30
N  0.0903  0.2317  0.5002 x8  4 Hf 2.23-2.25, 2 W 2.26
N  0.2500  0.2500  0.0000 x4  4 Hf 2.22-2.23, 2 W 2.30

Mass density in g/cm3: 12.78
Total magnetic moment in μB/cell: 0.00
E in eV per cell: -458.122



No. 12
The following is a PBE calculation of crystalline LaPr2Ge4Ir4 at its relaxed geometry, from the Open Quantum Materials Database.

a b c (Å): 4.1765 4.2704 25.4349
angles (deg): 90.00 90.00 90.00
Last column: nearest neighbours and their distance in Å.
Space group Immm (No. 71)
Inequivalent atoms, fractional coordinates:
La  0.0000  0.0000  0.0000 x2  8 Ge 3.24, 4 Ir 3.27
Pr  0.0000  0.5000  0.1455 x4  8 Ir 3.21-3.41, 6 Ge 3.21-3.26
Ge  0.0000  0.0000  0.4505 x4  2 Ir 2.48, 1 Ge 2.52
Ge  0.0000  0.5000  0.3034 x4  5 Ir 2.48-2.53
Ir  0.0000  0.0000  0.2498 x4  4 Ge 2.49-2.53
Ir  0.0000  0.5000  0.4010 x4  3 Ge 2.48

Mass density in g/cm3: 10.84
Total magnetic moment in μB/cell: 0.00
E in eV per cell: -154.645



- Look up the E of the first one.
  -39.703 eV per cell



- Which formula does entry 2 have?
  Pd16S7